Computed, not measured: an optimized crystal structure of RbU2HgCl8 at the PBE level of DFT.

energy	-57.00	eV/cell
raw formation energy	-1532	meV per atom
total magnetic moment	5.0	μB per formula unit
crystal system	trigonal

abc: 7.757 7.757 7.862
angles: 90.00 90.00 120.00
Fractional positions:
Rb 0.000 0.000 0.500
U 0.667 0.333 0.075
U 0.333 0.667 0.925
Hg 0.000 0.000 0.000
Cl 0.948 0.587 0.835
Cl 0.413 0.361 0.835
Cl 0.639 0.052 0.835
Cl 0.052 0.413 0.165
Cl 0.587 0.639 0.165
Cl 0.361 0.948 0.165
Cl 0.667 0.333 0.405
Cl 0.333 0.667 0.595


Computed, not measured: an optimized crystal structure of Y4HoIr2 at the PBE level of DFT.

energy	-103.50	eV/cell
total magnetic moment	0.0	μB per formula unit
crystal system	monoclinic

abc: 6.336 7.891 7.905
angles: 112.74 90.00 90.00
Fractional positions:
Y 0.503 0.416 0.764
Y 0.250 0.247 0.333
Y 0.750 0.753 0.667
Y 0.997 0.416 0.764
Y 0.750 0.016 0.380
Y 0.003 0.584 0.236
Y 0.497 0.584 0.236
Y 0.250 0.984 0.620
Ho 0.250 0.842 0.969
Ho 0.750 0.158 0.031
Ir 0.250 0.254 0.985
Ir 0.750 0.746 0.015
Ir 0.750 0.374 0.410
Ir 0.250 0.626 0.590


Computed, not measured: an optimized crystal structure of Nd3RhICl at the PBE level of DFT.

energy	-62.69	eV/cell
raw formation energy	-1049	meV per atom
total magnetic moment	0.5	μB per formula unit
crystal system	monoclinic

abc: 4.089 9.725 9.827
angles: 93.73 90.00 90.00
Fractional positions:
Nd 0.750 0.820 0.142
Nd 0.250 0.180 0.858
Nd 0.250 0.650 0.428
Nd 0.750 0.350 0.572
Nd 0.750 0.418 0.156
Nd 0.250 0.582 0.844
Rh 0.250 0.621 0.143
Rh 0.750 0.379 0.857
I 0.250 0.110 0.177
I 0.750 0.890 0.823
Cl 0.250 0.140 0.570
Cl 0.750 0.860 0.430


Computed, not measured: an optimized crystal structure of Th2TlAg at the PBE level of DFT.

energy	-20.36	eV/cell
total magnetic moment	0.0	μB per formula unit
crystal system	tetragonal

abc: 4.633 4.856 4.856
angles: 90.00 90.00 90.00
Fractional positions:
Tl 0.500 0.000 0.000
Ag 0.500 0.500 0.500
Th 0.000 0.000 0.500
Th 0.000 0.500 0.000


Computed, not measured: an optimized crystal structure of La2PmBr at the PBE level of DFT.

energy	-18.63	eV/cell
raw formation energy	-588	meV per atom
total magnetic moment	0.0	μB per formula unit
crystal system	trigonal

abc: 3.791 3.791 10.992
angles: 80.07 80.07 60.00
Fractional positions:
La 0.742 0.742 0.773
La 0.258 0.258 0.227
Br 0.000 0.000 0.000
Pm 0.500 0.500 0.500


Computed, not measured: an optimized crystal structure of Li2CuTeO at the PBE level of DFT.

energy	-20.83	eV/cell
raw formation energy	-962	meV per atom
total magnetic moment	0.0	μB per formula unit
crystal system	tetragonal

abc: 4.008 4.008 4.256
angles: 90.00 90.00 90.00
Fractional positions:
Te 0.500 0.500 0.500
O 0.000 0.000 0.000
Cu 0.000 0.000 0.500
Li 0.000 0.500 0.000
Li 0.500 0.000 0.000


Computed, not measured: an optimized crystal structure of LiNi2Rh at the PBE level of DFT.

energy	-39.10	eV/cell
total magnetic moment	0.6	μB per formula unit
crystal system	tetragonal

abc: 3.408 3.408 8.939
angles: 79.01 79.01 90.00
Fractional positions:
Ni 0.622 0.125 0.250
Ni 0.128 0.625 0.250
Ni 0.375 0.378 0.750
Ni 0.875 0.872 0.750
Rh 0.000 0.000 0.000
Rh 0.750 0.250 0.500
Li 0.500 0.500 0.000
Li 0.250 0.750 0.500


Computed, not measured: an optimized crystal structure of Nd3Sm2Y4 at the PBE level of DFT.

energy	-49.47	eV/cell
total magnetic moment	0.0	μB per formula unit
crystal system	monoclinic

abc: 3.619 8.106 10.830
angles: 77.29 90.00 102.90
Fractional positions:
Nd 0.333 0.666 0.557
Nd 0.000 0.000 0.000
Nd 0.667 0.334 0.443
Sm 0.333 0.667 0.220
Sm 0.667 0.333 0.780
Y 0.666 0.332 0.111
Y 0.000 0.000 0.667
Y 0.000 0.000 0.333
Y 0.334 0.668 0.889


Computed, not measured: an optimized crystal structure of MgGaPt2 at the PBE level of DFT.

energy	-18.60	eV/cell
total magnetic moment	0.0	μB per formula unit
crystal system	trigonal

abc: 3.936 3.936 5.748
angles: 69.98 69.98 60.00
Fractional positions:
Mg 0.671 0.671 0.987
Ga 0.495 0.495 0.515
Pt 0.081 0.081 0.758
Pt 0.253 0.253 0.240


Computed, not measured: an optimized crystal structure of ReSn at the PBE level of DFT.

energy	-120.47	eV/cell
total magnetic moment	0.0	μB per formula unit
crystal system	tetragonal

abc: 11.379 11.379 3.013
angles: 90.00 90.00 90.00
Fractional positions:
Re 0.231 0.161 0.000
Re 0.769 0.839 0.000
Re 0.839 0.231 0.000
Re 0.161 0.769 0.000
Re 0.731 0.661 0.500
Re 0.269 0.339 0.500
Re 0.339 0.731 0.500
Re 0.661 0.269 0.500
Sn 0.540 0.758 0.000
Sn 0.460 0.242 0.000
Sn 0.242 0.540 0.000
Sn 0.758 0.460 0.000
Sn 0.040 0.258 0.500
Sn 0.960 0.742 0.500
Sn 0.742 0.040 0.500
Sn 0.258 0.960 0.500


Computed, not measured: an optimized crystal structure of SbPbSe2 at the PBE level of DFT.

energy	-15.16	eV/cell
raw formation energy	-90	meV per atom
total magnetic moment	0.0	μB per formula unit
crystal system	cubic

abc: 5.217 5.217 5.217
angles: 60.00 60.00 60.00
Fractional positions:
Pb 0.500 0.500 0.500
Sb 0.000 0.000 0.000
Se 0.250 0.250 0.250
Se 0.750 0.750 0.750


Computed, not measured: an optimized crystal structure of CoRe2Br at the PBE level of DFT.

energy	-29.02	eV/cell
raw formation energy	1163	meV per atom
total magnetic moment	0.0	μB per formula unit
crystal system	tetragonal

abc: 4.438 4.438 2.889
angles: 90.00 90.00 90.00
Fractional positions:
Br 0.500 0.000 0.500
Co 0.000 0.500 0.500
Re 0.000 0.000 0.000
Re 0.500 0.500 0.000